Entry 1:
# Nd3Al (PBE-GGA, optimized geometry)
data_Nd3Al
_chemical_formula_sum 'Nd6 Al2'
_cell_length_a 3.888
_cell_length_b 11.764
_cell_length_c 5.420
_cell_angle_alpha 90.00
_cell_angle_beta 90.00
_cell_angle_gamma 90.00
_symmetry_space_group_name_H-M 'I m m 2'
_symmetry_Int_Tables_number 44
loop_
_symmetry_equiv_pos_as_xyz
'x,y,z'
'-x,-y,z'
'-x,y,z'
'x,-y,z'
'x+1/2,y+1/2,z+1/2'
'-x+1/2,-y+1/2,z+1/2'
'-x+1/2,y+1/2,z+1/2'
'x+1/2,-y+1/2,z+1/2'
loop_
_atom_site_label
_atom_site_fract_x
_atom_site_fract_y
_atom_site_fract_z
Nd1 0.000 0.000 0.000
Nd2 0.000 0.213 0.501
Al1 0.000 0.500 0.000
# - Energy relative to the lowest polymorph listed for this composition: 33 meV per atom
# - Energy of formation: -0.15 eV per atom
# - E_tot: -4.6576 eV/atom
# - ρ: 6.160 Mg/m³



Entry 2:
# Nd3Al (PBE-GGA, optimized geometry)
data_Nd3Al
_chemical_formula_sum 'Nd12 Al4'
_cell_length_a 7.807
_cell_length_b 7.807
_cell_length_c 7.807
_cell_angle_alpha 90.00
_cell_angle_beta 90.00
_cell_angle_gamma 90.00
_symmetry_space_group_name_H-M 'F m -3 m'
_symmetry_Int_Tables_number 225
_symmetry_space_group_name_Hall '-F 4 2 3'
loop_
_atom_site_label
_atom_site_fract_x
_atom_site_fract_y
_atom_site_fract_z
Nd1 0.000 0.000 0.000
Nd2 0.250 0.250 0.250
Al1 0.000 0.000 0.500
# - Energy relative to the lowest polymorph listed for this composition: 163 meV per atom
# - Energy of formation: -0.02 eV per atom
# - E_tot: -4.5272 eV/atom
# - ρ: 6.418 Mg/m³



Entry 3:
# Nd3Al (PBE-GGA, optimized geometry)
data_Nd3Al
_chemical_formula_sum 'Nd6 Al2'
_cell_length_a 4.829
_cell_length_b 4.829
_cell_length_c 10.073
_cell_angle_alpha 90.00
_cell_angle_beta 90.00
_cell_angle_gamma 90.00
_symmetry_space_group_name_H-M 'I 4/m m m'
_symmetry_Int_Tables_number 139
_symmetry_space_group_name_Hall '-I 4 2'
loop_
_atom_site_label
_atom_site_fract_x
_atom_site_fract_y
_atom_site_fract_z
Nd1 0.000 0.000 0.000
Nd2 0.000 0.500 0.250
Al1 0.000 0.000 0.500
# - Energy relative to the lowest polymorph listed for this composition: 32 meV per atom
# - Energy of formation: -0.15 eV per atom
# - E_tot: -4.6583 eV/atom
# - ρ: 6.499 Mg/m³



Entry 4:
# NdAl8Ni4 (PBE-GGA, optimized geometry)
data_NdAl8Ni4
_chemical_formula_sum 'Nd2 Al16 Ni8'
_cell_length_a 8.662
_cell_length_b 8.662
_cell_length_c 5.124
_cell_angle_alpha 90.00
_cell_angle_beta 90.00
_cell_angle_gamma 90.00
_symmetry_space_group_name_H-M 'I 4/m m m'
_symmetry_Int_Tables_number 139
_symmetry_space_group_name_Hall '-I 4 2'
loop_
_atom_site_label
_atom_site_fract_x
_atom_site_fract_y
_atom_site_fract_z
Nd1 0.000 0.000 0.000
Al1 0.000 0.224 0.500
Al2 0.000 0.345 0.000
Ni1 0.250 0.250 0.250
# - Energy of formation: -0.58 eV per atom
# - E_tot: -5.0255 eV/atom
# - ρ: 5.138 Mg/m³



Entry 5:
# Nd12AlNi6 (PBE-GGA, optimized geometry)
data_Nd12AlNi6
_chemical_formula_sum 'Nd24 Al2 Ni12'
_cell_length_a 10.024
_cell_length_b 10.024
_cell_length_c 10.024
_cell_angle_alpha 90.00
_cell_angle_beta 90.00
_cell_angle_gamma 90.00
_symmetry_space_group_name_H-M 'I m -3'
_symmetry_Int_Tables_number 204
_symmetry_space_group_name_Hall '-I 2 2 3'
loop_
_atom_site_label
_atom_site_fract_x
_atom_site_fract_y
_atom_site_fract_z
Nd1 0.000 0.185 0.305
Al1 0.000 0.000 0.000
Ni1 0.000 0.378 0.500
# - Energy of formation: -0.24 eV per atom
# - E_tot: -5.2786 eV/atom
# - ρ: 6.958 Mg/m³



Entry 6:
# Nd11Al9Ni4 (PBE-GGA, optimized geometry)
data_Nd11Al9Ni4
_chemical_formula_sum 'Nd22 Al18 Ni8'
_cell_length_a 14.288
_cell_length_b 21.478
_cell_length_c 3.717
_cell_angle_alpha 90.00
_cell_angle_beta 90.00
_cell_angle_gamma 90.00
_symmetry_space_group_name_H-M 'C m m m'
_symmetry_Int_Tables_number 65
_symmetry_space_group_name_Hall '-C 2 2'
loop_
_atom_site_label
_atom_site_fract_x
_atom_site_fract_y
_atom_site_fract_z
Nd1 0.000 0.000 0.000
Nd2 0.000 0.166 0.000
Nd3 0.000 0.375 0.000
Nd4 0.189 0.500 0.000
Nd5 0.241 0.172 0.000
Al1 0.000 0.500 0.500
Al2 0.099 0.270 0.500
Al3 0.153 0.068 0.500
Ni1 0.156 0.398 0.500
# - Energy of formation: -0.39 eV per atom
# - E_tot: -4.9472 eV/atom
# - ρ: 6.009 Mg/m³



Entry 7:
# NdAlNi4 (PBE-GGA, optimized geometry)
data_NdAlNi4
_chemical_formula_sum 'Nd2 Al2 Ni8'
_cell_length_a 7.131
_cell_length_b 3.751
_cell_length_c 6.769
_cell_angle_alpha 90.00
_cell_angle_beta 90.00
_cell_angle_gamma 90.00
_symmetry_space_group_name_H-M 'P m m a'
_symmetry_Int_Tables_number 51
loop_
_symmetry_equiv_pos_as_xyz
'x,y,z'
'-x,-y,-z'
'-x+1/2,-y,z'
'x+1/2,y,-z'
'x+1/2,-y,-z'
'-x+1/2,y,z'
'-x,y,-z'
'x,-y,z'
loop_
_atom_site_label
_atom_site_fract_x
_atom_site_fract_y
_atom_site_fract_z
Nd1 0.250 0.000 0.146
Al1 0.250 0.000 0.710
Ni1 0.000 0.000 0.500
Ni2 0.051 0.500 0.775
Ni3 0.250 0.500 0.465
# - Energy of formation: -0.29 eV per atom
# - E_tot: -5.5581 eV/atom
# - ρ: 7.447 Mg/m³



Entry 8:
# Nd2Al5Ni (PBE-GGA, optimized geometry)
data_Nd2Al5Ni
_chemical_formula_sum 'Nd4 Al10 Ni2'
_cell_length_a 6.128
_cell_length_b 6.128
_cell_length_c 9.185
_cell_angle_alpha 90.00
_cell_angle_beta 90.00
_cell_angle_gamma 90.00
_symmetry_space_group_name_H-M 'I 4 m m'
_symmetry_Int_Tables_number 107
_symmetry_space_group_name_Hall 'I 4 -2'
loop_
_atom_site_label
_atom_site_fract_x
_atom_site_fract_y
_atom_site_fract_z
Nd1 0.000 0.500 0.000
Al1 0.000 0.000 0.473
Al2 0.225 0.225 0.251
Ni1 0.000 0.000 0.731
# - Energy of formation: -0.34 eV per atom
# - E_tot: -4.5958 eV/atom
# - ρ: 4.641 Mg/m³



Entry 9:
# Nd2Al9Ni3 (PBE-GGA, optimized geometry)
data_Nd2Al9Ni3
_chemical_formula_sum 'Nd8 Al36 Ni12'
_cell_length_a 13.083
_cell_length_b 7.504
_cell_length_c 10.443
_cell_angle_alpha 90.00
_cell_angle_beta 114.71
_cell_angle_gamma 90.00
_symmetry_space_group_name_H-M 'C 1 2/c 1'
_symmetry_Int_Tables_number 15
loop_
_symmetry_equiv_pos_as_xyz
'x,y,z'
'-x,-y,-z'
'-x,y,-z+1/2'
'x,-y,z+1/2'
'x+1/2,y+1/2,z'
'-x+1/2,-y+1/2,-z'
'-x+1/2,y+1/2,-z+1/2'
'x+1/2,-y+1/2,z+1/2'
loop_
_atom_site_label
_atom_site_fract_x
_atom_site_fract_y
_atom_site_fract_z
Nd1 0.169 0.084 0.250
Al1 0.000 0.371 0.250
Al2 0.061 0.083 0.932
Al3 0.099 0.415 0.046
Al4 0.104 0.315 0.748
Al5 0.226 0.418 0.433
Ni1 0.084 0.246 0.500
Ni2 0.250 0.250 0.000
# - Energy of formation: -0.54 eV per atom
# - E_tot: -4.8693 eV/atom
# - ρ: 5.045 Mg/m³



Entry 10:
# Nd2Al2Ni3 (PBE-GGA, optimized geometry)
data_Nd2Al2Ni3
_chemical_formula_sum 'Nd8 Al8 Ni12'
_cell_length_a 8.225
_cell_length_b 8.225
_cell_length_c 8.225
_cell_angle_alpha 90.00
_cell_angle_beta 90.00
_cell_angle_gamma 90.00
_symmetry_space_group_name_H-M 'I 21 3'
_symmetry_Int_Tables_number 199
_symmetry_space_group_name_Hall 'I 2b 2c 3'
loop_
_atom_site_label
_atom_site_fract_x
_atom_site_fract_y
_atom_site_fract_z
Nd1 0.245 0.255 0.745
Al1 0.031 0.469 0.531
Ni1 0.000 0.250 0.035
# - Energy of formation: -0.27 eV per atom
# - E_tot: -5.1816 eV/atom
# - ρ: 6.189 Mg/m³



Entry 11:
# NdAl8Ni2 (PBE-GGA, optimized geometry)
data_NdAl8Ni2
_chemical_formula_sum 'Nd1 Al8 Ni2'
_cell_length_a 5.593
_cell_length_b 5.593
_cell_length_c 7.958
_cell_angle_alpha 90.00
_cell_angle_beta 90.00
_cell_angle_gamma 90.00
_symmetry_space_group_name_H-M 'P 4/m m m'
_symmetry_Int_Tables_number 123
_symmetry_space_group_name_Hall '-P 4 2'
loop_
_atom_site_label
_atom_site_fract_x
_atom_site_fract_y
_atom_site_fract_z
Nd1 0.000 0.000 0.000
Al1 0.249 0.249 0.324
Ni1 0.000 0.500 0.500
# - Energy of formation: 0.01 eV per atom
# - E_tot: -4.1962 eV/atom
# - ρ: 3.185 Mg/m³



Entry 12:
# Nd6Al2Ni (PBE-GGA, optimized geometry)
data_Nd6Al2Ni
_chemical_formula_sum 'Nd12 Al4 Ni2'
_cell_length_a 9.968
_cell_length_b 9.968
_cell_length_c 5.163
_cell_angle_alpha 90.00
_cell_angle_beta 90.00
_cell_angle_gamma 90.00
_symmetry_space_group_name_H-M 'P 42/m n m'
_symmetry_Int_Tables_number 136
_symmetry_space_group_name_Hall '-P 4n 2n'
loop_
_atom_site_label
_atom_site_fract_x
_atom_site_fract_y
_atom_site_fract_z
Nd1 0.026 0.298 0.000
Nd2 0.112 0.888 0.500
Al1 0.206 0.206 0.500
Ni1 0.000 0.000 0.000
# - Energy of formation: -0.17 eV per atom
# - E_tot: -4.8211 eV/atom
# - ρ: 6.333 Mg/m³



Entry 13:
# NdAl6Ni6 (PBE-GGA, optimized geometry)
data_NdAl6Ni6
_chemical_formula_sum 'Nd2 Al12 Ni12'
_cell_length_a 4.965
_cell_length_b 8.410
_cell_length_c 8.705
_cell_angle_alpha 90.00
_cell_angle_beta 90.00
_cell_angle_gamma 90.00
_symmetry_space_group_name_H-M 'I m m m'
_symmetry_Int_Tables_number 71
_symmetry_space_group_name_Hall '-I 2 2'
loop_
_atom_site_label
_atom_site_fract_x
_atom_site_fract_y
_atom_site_fract_z
Nd1 0.000 0.000 0.000
Al1 0.000 0.000 0.349
Al2 0.000 0.343 0.000
Al3 0.000 0.500 0.301
Ni1 0.000 0.263 0.500
Ni2 0.250 0.250 0.250
# - Energy of formation: -0.56 eV per atom
# - E_tot: -5.3176 eV/atom
# - ρ: 6.015 Mg/m³



Entry 14:
# Nd3Al4Ni4 (PBE-GGA, optimized geometry)
data_Nd3Al4Ni4
_chemical_formula_sum 'Nd6 Al8 Ni8'
_cell_length_a 7.530
_cell_length_b 7.530
_cell_length_c 7.530
_cell_angle_alpha 90.00
_cell_angle_beta 90.00
_cell_angle_gamma 90.00
_symmetry_space_group_name_H-M 'I -4 3 m'
_symmetry_Int_Tables_number 217
_symmetry_space_group_name_Hall 'I -4 2 3'
loop_
_atom_site_label
_atom_site_fract_x
_atom_site_fract_y
_atom_site_fract_z
Nd1 0.000 0.000 0.500
Al1 0.132 0.132 0.868
Ni1 0.187 0.187 0.187
# - Energy of formation: -0.41 eV per atom
# - E_tot: -5.1776 eV/atom
# - ρ: 6.033 Mg/m³



Entry 15:
# NdAl3Ni (PBE-GGA, optimized geometry)
data_NdAl3Ni
_chemical_formula_sum 'Nd4 Al12 Ni4'
_cell_length_a 8.254
_cell_length_b 4.112
_cell_length_c 10.854
_cell_angle_alpha 90.00
_cell_angle_beta 90.00
_cell_angle_gamma 90.00
_symmetry_space_group_name_H-M 'P n m a'
_symmetry_Int_Tables_number 62
loop_
_symmetry_equiv_pos_as_xyz
'x,y,z'
'-x,-y,-z'
'-x+1/2,-y,z+1/2'
'x+1/2,y,-z+1/2'
'x+1/2,-y+1/2,-z+1/2'
'-x+1/2,y+1/2,z+1/2'
'-x,y+1/2,-z'
'x,-y+1/2,z'
loop_
_atom_site_label
_atom_site_fract_x
_atom_site_fract_y
_atom_site_fract_z
Nd1 0.183 0.250 0.010
Al1 0.055 0.250 0.582
Al2 0.121 0.750 0.783
Al3 0.140 0.750 0.224
Ni1 0.101 0.250 0.355
# - Energy relative to the lowest polymorph listed for this composition: 0 meV per atom
# - Energy of formation: -0.58 eV per atom
# - E_tot: -4.9309 eV/atom
# - ρ: 5.119 Mg/m³



Entry 16:
# Nd3Al5Ni2 (PBE-GGA, optimized geometry)
data_Nd3Al5Ni2
_chemical_formula_sum 'Nd6 Al10 Ni4'
_cell_length_a 9.913
_cell_length_b 9.913
_cell_length_c 4.114
_cell_angle_alpha 90.00
_cell_angle_beta 90.00
_cell_angle_gamma 90.00
_symmetry_space_group_name_H-M 'P 4/m b m'
_symmetry_Int_Tables_number 127
_symmetry_space_group_name_Hall '-P 4 2ab'
loop_
_atom_site_label
_atom_site_fract_x
_atom_site_fract_y
_atom_site_fract_z
Nd1 0.000 0.000 0.000
Nd2 0.177 0.323 0.000
Al1 0.000 0.500 0.500
Al2 0.065 0.764 0.500
Ni1 0.119 0.619 0.000
# - Energy of formation: -0.52 eV per atom
# - E_tot: -4.9816 eV/atom
# - ρ: 5.628 Mg/m³



Entry 17:
# Nd3Al4Ni2 (PBE-GGA, optimized geometry)
data_Nd3Al4Ni2
_chemical_formula_sum 'Nd6 Al8 Ni4'
_cell_length_a 11.213
_cell_length_b 4.239
_cell_length_c 8.478
_cell_angle_alpha 90.00
_cell_angle_beta 107.05
_cell_angle_gamma 90.00
_symmetry_space_group_name_H-M 'C 1 2/m 1'
_symmetry_Int_Tables_number 12
loop_
_symmetry_equiv_pos_as_xyz
'x,y,z'
'-x,-y,-z'
'-x,y,-z'
'x,-y,z'
'x+1/2,y+1/2,z'
'-x+1/2,-y+1/2,-z'
'-x+1/2,y+1/2,-z'
'x+1/2,-y+1/2,z'
loop_
_atom_site_label
_atom_site_fract_x
_atom_site_fract_y
_atom_site_fract_z
Nd1 0.000 0.000 0.000
Nd2 0.123 0.500 0.379
Al1 0.092 0.000 0.655
Al2 0.217 0.500 0.070
Ni1 0.188 0.500 0.771
# - Energy of formation: -0.44 eV per atom
# - E_tot: -4.9757 eV/atom
# - ρ: 5.672 Mg/m³



Entry 18:
# Nd2AlNi16 (PBE-GGA, optimized geometry)
data_Nd2AlNi16
_chemical_formula_sum 'Nd6 Al3 Ni48'
_cell_length_a 8.3641
_cell_length_b 8.3641
_cell_length_c 12.2374
_cell_angle_alpha 90.00
_cell_angle_beta 90.00
_cell_angle_gamma 120.00
_symmetry_space_group_name_H-M 'R 3 m'
_symmetry_Int_Tables_number 160
_symmetry_space_group_name_Hall 'R 3 -2"'
loop_
_atom_site_label
_atom_site_fract_x
_atom_site_fract_y
_atom_site_fract_z
Nd1 0.0000 0.0000 0.0000
Nd2 0.0000 0.0000 0.3127
Al1 0.0000 0.0000 0.5698
Ni1 0.0000 0.0000 0.7603
Ni2 0.0000 0.2929 0.6595
Ni3 0.0026 0.5013 0.1587
Ni4 0.0033 0.5016 0.5032
Ni5 0.1690 0.3380 0.1483
# - Energy of formation: -0.24 eV per atom
# - E_tot: -5.8100 eV/atom
# - ρ: 8.430 Mg/m³



Entry 19:
# NdAl2Ni2 (PBE-GGA, optimized geometry)
data_NdAl2Ni2
_chemical_formula_sum 'Nd4 Al8 Ni8'
_cell_length_a 5.550
_cell_length_b 9.436
_cell_length_c 7.361
_cell_angle_alpha 90.00
_cell_angle_beta 112.14
_cell_angle_gamma 90.00
_symmetry_space_group_name_H-M 'C 1 2/c 1'
_symmetry_Int_Tables_number 15
loop_
_symmetry_equiv_pos_as_xyz
'x,y,z'
'-x,-y,-z'
'-x,y,-z+1/2'
'x,-y,z+1/2'
'x+1/2,y+1/2,z'
'-x+1/2,-y+1/2,-z'
'-x+1/2,y+1/2,-z+1/2'
'x+1/2,-y+1/2,z+1/2'
loop_
_atom_site_label
_atom_site_fract_x
_atom_site_fract_y
_atom_site_fract_z
Nd1 0.000 0.125 0.250
Al1 0.111 0.375 0.973
Ni1 0.000 0.178 0.750
Ni2 0.000 0.428 0.250
# - Energy relative to the lowest polymorph listed for this composition: 103 meV per atom
# - Energy of formation: -0.44 eV per atom
# - E_tot: -5.2048 eV/atom
# - ρ: 5.871 Mg/m³